{
  "formula": "Sm4DyY5",
  "functional": "PBE",
  "state": "relaxed",
  "formation_enthalpy_0k_mev_per_atom": 291.5,
  "de_polymorph_kj_per_mol_atoms": 10.1,
  "lattice_angstrom": [[-5.1793, 5.1793, 3.1253], [5.1793, -5.1793, 3.1253], [5.1793, 5.1793, -3.1253]],
  "species": ["Sm", "Sm", "Sm", "Sm", "Dy", "Y", "Y", "Y", "Y", "Y"],
  "fractional_positions": [[0.0444, 0.3481, 0.3925], [0.3481, 0.9556, 0.3037], [0.6519, 0.0444, 0.6963], [0.9556, 0.6519, 0.6075], [0.7671, 0.7671, 0.0000], [0.2302, 0.2302, 0.0000], [0.2735, 0.6541, 0.9241], [0.3494, 0.2735, 0.6194], [0.6541, 0.7300, 0.3806], [0.7300, 0.3494, 0.0759]]
}

{
  "formula": "Ba2SrIr",
  "functional": "PBE",
  "state": "relaxed",
  "formation_enthalpy_0k_mev_per_atom": 333.4,
  "de_polymorph_kj_per_mol_atoms": 48.7,
  "lattice_angstrom": [[0.0000, 4.0712, 4.0712], [4.0712, 0.0000, 4.0712], [4.0712, 4.0712, 0.0000]],
  "species": ["Ba", "Ba", "Sr", "Ir"],
  "fractional_positions": [[0.2500, 0.2500, 0.2500], [0.7500, 0.7500, 0.7500], [0.0000, 0.0000, 0.0000], [0.5000, 0.5000, 0.5000]]
}

{
  "formula": "SbTe2ICl",
  "functional": "PBE",
  "state": "relaxed",
  "e_form_raw_ev_per_fu": 3.61,
  "de_polymorph_kj_per_mol_atoms": 29.3,
  "lattice_angstrom": [[5.5600, 0.0000, 0.0000], [0.0000, 5.5600, 0.0000], [0.0000, 0.0000, 5.3966]],
  "species": ["Sb", "Te", "Te", "I", "Cl"],
  "fractional_positions": [[0.0000, 0.0000, 0.0000], [0.0000, 0.5000, 0.5000], [0.5000, 0.0000, 0.5000], [0.5000, 0.5000, 0.0000], [0.5000, 0.5000, 0.5000]]
}

{
  "formula": "MgSnSb2I",
  "functional": "PBE",
  "state": "relaxed",
  "e_form_raw_ev_per_fu": 1.68,
  "de_polymorph_kj_per_mol_atoms": 0.0,
  "lattice_angstrom": [[5.4433, 0.0000, 0.0000], [0.0000, 5.4433, 0.0000], [0.0000, 0.0000, 5.6223]],
  "species": ["Mg", "Sn", "Sb", "Sb", "I"],
  "fractional_positions": [[0.0000, 0.0000, 0.0000], [0.5000, 0.5000, 0.5000], [0.0000, 0.5000, 0.0000], [0.5000, 0.0000, 0.0000], [0.0000, 0.0000, 0.5000]]
}

{
  "formula": "CsTiVCl6",
  "functional": "PBE",
  "state": "relaxed",
  "e_form_raw_ev_per_fu": -14.00,
  "lattice_angstrom": [[3.2222, -5.5633, 0.0000], [3.2222, 5.5633, 0.0000], [-0.0066, 0.0000, 7.8763]],
  "species": ["Cs", "Ti", "V", "Cl", "Cl", "Cl", "Cl", "Cl", "Cl"],
  "fractional_positions": [[0.0000, 0.0000, 0.0000], [0.6668, 0.3332, 0.5000], [0.3337, 0.6663, 0.5000], [0.9995, 0.6286, 0.3234], [0.3714, 0.0005, 0.6766], [0.3755, 0.3747, 0.3211], [0.6253, 0.6245, 0.6789], [0.6279, 0.0011, 0.3236], [0.9989, 0.3721, 0.6764]]
}

{
  "formula": "AcCu4",
  "functional": "PBE",
  "state": "relaxed",
  "formation_enthalpy_0k_mev_per_atom": -106.1,
  "de_polymorph_kj_per_mol_atoms": 0.0,
  "lattice_angstrom": [[0.0000, 3.0967, 4.8452], [3.0736, 0.0000, 4.8452], [3.0736, 3.0967, 0.0000]],
  "species": ["Ac", "Cu", "Cu", "Cu", "Cu"],
  "fractional_positions": [[0.0000, 0.0000, 0.0000], [0.2500, 0.2500, 0.2500], [0.3724, 0.3724, 0.6276], [0.6276, 0.6276, 0.3724], [0.7500, 0.7500, 0.7500]]
}

{
  "formula": "TmPaSn2",
  "functional": "PBE",
  "state": "relaxed",
  "formation_enthalpy_0k_mev_per_atom": -266.7,
  "de_polymorph_kj_per_mol_atoms": 9.0,
  "lattice_angstrom": [[0.0000, 3.7433, 3.7433], [3.7433, 0.0000, 3.7433], [3.7433, 3.7433, 0.0000]],
  "species": ["Tm", "Pa", "Sn", "Sn"],
  "fractional_positions": [[0.0000, 0.0000, 0.0000], [0.5000, 0.5000, 0.5000], [0.2500, 0.2500, 0.2500], [0.7500, 0.7500, 0.7500]]
}

{
  "formula": "Mg2BPd2Pt4",
  "functional": "PBE",
  "state": "relaxed",
  "formation_enthalpy_0k_mev_per_atom": -672.8,
  "lattice_angstrom": [[-2.8590, 2.8590, 4.1311], [2.8590, -2.8590, 4.1311], [2.8590, 2.8590, -4.1311]],
  "species": ["Mg", "Mg", "B", "Pd", "Pd", "Pt", "Pt", "Pt", "Pt"],
  "fractional_positions": [[0.2500, 0.7500, 0.5000], [0.7500, 0.2500, 0.5000], [0.0000, 0.0000, 0.0000], [0.2564, 0.2564, 0.0000], [0.7436, 0.7436, 0.0000], [0.2577, 0.2577, 0.5154], [0.2577, 0.7423, 0.0000], [0.7423, 0.2577, 0.0000], [0.7423, 0.7423, 0.4846]]
}

{
  "formula": "IrOsBr2",
  "functional": "PBE",
  "state": "relaxed",
  "e_form_raw_ev_per_fu": 6.18,
  "de_polymorph_kj_per_mol_atoms": 111.1,
  "lattice_angstrom": [[0.0000, 3.2941, 3.2941], [3.2941, 0.0000, 3.2941], [3.2941, 3.2941, 0.0000]],
  "species": ["Ir", "Os", "Br", "Br"],
  "fractional_positions": [[0.0000, 0.0000, 0.0000], [0.2500, 0.2500, 0.2500], [0.5000, 0.5000, 0.5000], [0.7500, 0.7500, 0.7500]]
}

Number 1: volume 33.53 Å³/atom, spin magnetization 0.00 μB per cell. Number 2: volume 33.74 Å³/atom, spin magnetization 0.00 μB per cell. Number 3: volume 33.37 Å³/atom, spin magnetization 0.00 μB per cell. Number 4: volume 33.32 Å³/atom, spin magnetization 0.00 μB per cell. Number 5: volume 31.38 Å³/atom, spin magnetization 4.00 μB per cell. Number 6: volume 18.45 Å³/atom, spin magnetization 0.00 μB per cell. Number 7: volume 26.23 Å³/atom, spin magnetization 1.24 μB per cell. Number 8: volume 15.01 Å³/atom, spin magnetization 0.00 μB per cell. Number 9: volume 17.87 Å³/atom, spin magnetization 0.92 μB per cell.